Material: DyMg2Tl
Method: DFT, GGA-PBE
State: relaxed

Geometry as CIF:
```
data_DyMg2Tl
_chemical_formula_sum 'Dy1 Mg2 Tl1'
_space_group_name_H-M_alt 'P 4/m m m'
_space_group_IT_number 123
_space_group_name_Hall '-P 4 2'
_cell_length_a 3.547
_cell_length_b 3.547
_cell_length_c 8.230
_cell_angle_alpha 90.00
_cell_angle_beta 90.00
_cell_angle_gamma 90.00
loop_
_atom_site_label
_atom_site_type_symbol
_atom_site_fract_x
_atom_site_fract_y
_atom_site_fract_z
_atom_site_occupancy
Dy1 Dy 0.000 0.000 0.000 1
Mg1 Mg 0.500 0.500 0.273 1
Tl1 Tl 0.000 0.000 0.500 1
```

The calculation puts the energy of formation at -0.07 eV per atom. The value obtained for the energy above the most stable polymorph in this dataset is 55 kJ/mol of formula units. The calculated density is 6.662 g/cm3.